Here is a geometry-optimized Li3BW structure from Alexandria via LeMat-Bulk. Energies are from PBE.

Cell lengths 5.0031, 5.0031, 5.0031 Å; angles 90.00, 90.00, 90.00 degrees
Each line ends with the local moment (μB).
Fractional positions:
Li  0.5000  0.0000  0.0000  0.04
B  0.5000  0.5000  0.5000  -0.14
Li  0.0000  0.5000  0.0000  0.03
Li  0.0000  0.0000  0.5000  0.02
W  0.0000  0.0000  0.0000  3.08

Summary:
Formation enthalpy at 0 K, kJ per mole of atoms: 223
D(E_F), states/eV per cell: 4.14
Calculated density, g cm⁻³: 2.86
SG: Pm-3m
Total magnetization, μB per formula unit: 3.99
Polymorph energy (0 for the lowest one), meV per atom: 1063.4
Crystal system: cubic